The following is a DFT calculation (PBE-GGA) of an optimized crystal structure of HoCd2Pd8.

Lattice parameters (Å, degrees): 14.5334 4.1494 6.4004 90.00 105.53 90.00
Closest atoms and distances in Å follow each position.
Space group C2/m (No. 12)
Unique sites:
Ho: 0.0000 0.0000 0.0000 x2  12 Pd 2.84-2.91
Cd: 0.2248 0.5000 0.6474 x4  10 Pd 2.79-2.93, 2 Cd 3.02
Pd: 0.0420 0.5000 0.7216 x4  9 Pd 2.77-2.92, 1 Cd 2.82, 2 Ho 2.90
Pd: 0.0914 0.0000 0.4608 x4  8 Pd 2.83-2.93, 3 Cd 2.87-2.93, 1 Ho 2.89
Pd: 0.1381 0.5000 0.1837 x4  7 Pd 2.84-2.93, 3 Cd 2.88-2.90, 2 Ho 2.91
Pd: 0.1812 0.0000 0.9115 x4  3 Cd 2.79-2.85, 8 Pd 2.83-2.92, 1 Ho 2.84

Computed properties:
N(E_F) (states/eV per atom): 0.33
ρ (g/cm3): 11.084
Calculated volume (Å³/cell): 372
Uncorrected energy (eV per atom): -4.84
ΔH_f (0 K) (meV/atom): -482
M_tot (μB per formula unit): 0.000
ΔE to the lowest computed polymorph (eV/atom): 0.000

=====

The following is a DFT calculation (PBE-GGA) of an optimized crystal structure of HoCd2Pd.

Lattice parameters (Å, degrees): 4.1667 4.1667 4.9865 90.00 90.00 90.00
Closest atoms and distances in Å follow each position.
Space group P4/mmm (No. 123)
Unique sites:
Ho: 0.0000 0.0000 0.0000 x1  4 Pd 2.95, 8 Cd 3.25
Cd: 0.0000 0.5000 0.5000 x2  4 Cd 2.95, 4 Pd 3.25, 4 Ho 3.25
Pd: 0.5000 0.5000 0.0000 x1  4 Ho 2.95, 8 Cd 3.25

Computed properties:
N(E_F) (states/eV per atom): 0.76
ρ (g/cm3): 9.517
Calculated volume (Å³/cell): 87
Uncorrected energy (eV per atom): -3.30
ΔH_f (0 K) (meV/atom): -397
M_tot (μB per formula unit): 0.000

=====

The following is a DFT calculation (PBE-GGA) of an optimized crystal structure of HoCd2Pd8.

Lattice parameters (Å, degrees): 8.2748 10.9193 4.3897 90.00 90.00 90.00
Closest atoms and distances in Å follow each position.
Space group Cmmm (No. 65)
Unique sites:
Ho: 0.0000 0.0000 0.0000 x2  12 Pd 2.68-2.99
Cd: 0.0000 0.3742 0.5000 x4  4 Pd 2.61-2.73, 1 Cd 2.75
Pd: 0.0000 0.2452 0.0000 x4  2 Cd 2.61, 1 Ho 2.68, 4 Pd 2.88
Pd: 0.1663 0.5000 0.0000 x4  5 Pd 2.75-2.96, 1 Ho 2.76, 4 Cd 2.93
Pd: 0.1704 0.1341 0.5000 x8  2 Cd 2.73-2.98, 7 Pd 2.82-2.96, 2 Ho 2.99

Computed properties:
N(E_F) (states/eV per atom): 0.63
ρ (g/cm3): 10.392
Calculated volume (Å³/cell): 397
Uncorrected energy (eV per atom): -4.63
ΔH_f (0 K) (meV/atom): -269
M_tot (μB per formula unit): 0.000
ΔE to the lowest computed polymorph (eV/atom): 0.213

=====

The following is a DFT calculation (PBE-GGA) of an optimized crystal structure of Ho3Cd2Pd3.

Lattice parameters (Å, degrees): 8.4209 8.4209 5.7515 90.00 90.00 120.00
Closest atoms and distances in Å follow each position.
Space group P6_3/mcm (No. 193)
Unique sites:
Ho: 0.0000 0.2708 0.2500 x6  5 Pd 2.89-3.03
Cd: 0.3333 0.6667 0.0000 x4  2 Cd 2.88, 6 Pd 2.99
Pd: 0.0000 0.3852 0.7500 x6  5 Ho 2.89-3.03, 4 Cd 2.99

Computed properties:
N(E_F) (states/eV per atom): 0.63
ρ (g/cm3): 9.768
Calculated volume (Å³/cell): 353
Uncorrected energy (eV per atom): -4.59
ΔH_f (0 K) (meV/atom): -695
M_tot (μB per formula unit): 0.000

=====

The following is a DFT calculation (PBE-GGA) of an optimized crystal structure of Ho4CdPd3.

Lattice parameters (Å, degrees): 5.0117 5.0117 7.1217 90.00 90.00 90.00
Closest atoms and distances in Å follow each position.
Space group P4/mmm (No. 123)
Unique sites:
Ho: 0.0000 0.5000 0.2396 x4  6 Pd 3.03-3.12, 2 Cd 3.12
Cd: 0.0000 0.0000 0.5000 x1  8 Ho 3.12
Pd: 0.0000 0.0000 0.0000 x1  8 Ho 3.03
Pd: 0.5000 0.5000 0.0000 x1  8 Ho 3.03
Pd: 0.5000 0.5000 0.5000 x1  8 Ho 3.12

Computed properties:
N(E_F) (states/eV per atom): 0.77
ρ (g/cm3): 10.132
Calculated volume (Å³/cell): 179
Uncorrected energy (eV per atom): -5.08
ΔH_f (0 K) (meV/atom): -732
M_tot (μB per formula unit): 0.000

=====

The following is a DFT calculation (PBE-GGA) of an optimized crystal structure of Ho3Cd2Pd8.

Lattice parameters (Å, degrees): 5.3996 5.3996 30.3995 90.00 90.00 120.00
Closest atoms and distances in Å follow each position.
Space group R-3m (No. 166, hexagonal axes)
Unique sites:
Ho: 0.0000 0.0000 0.0000 x3  6 Cd 3.27, 12 Pd 3.52-3.56
Ho: 0.0000 0.0000 0.1896 x6  10 Pd 2.75-2.98
Cd: 0.0000 0.0000 0.3656 x6  4 Pd 2.61-2.73
Pd: 0.0000 0.0000 0.2799 x6  1 Cd 2.61, 1 Ho 2.75
Pd: 0.0030 0.5015 0.7722 x18  4 Pd 2.68-2.72, 1 Cd 2.73, 3 Ho 2.94-2.98

Computed properties:
N(E_F) (states/eV per atom): 0.37
ρ (g/cm3): 10.196
Calculated volume (Å³/cell): 768
Uncorrected energy (eV per atom): -4.92
ΔH_f (0 K) (meV/atom): -530
M_tot (μB per formula unit): 0.000

=====

The following is a DFT calculation (PBE-GGA) of an optimized crystal structure of Ho3Cd2Pd6.

Lattice parameters (Å, degrees): 4.1879 4.1879 25.5971 90.00 90.00 90.00
Closest atoms and distances in Å follow each position.
Space group I4/mmm (No. 139)
Unique sites:
Ho: 0.0000 0.0000 0.0000 x2  8 Cd 3.26
Ho: 0.0000 0.0000 0.1999 x4  9 Pd 2.79-2.97
Cd: 0.0000 0.0000 0.4469 x4  4 Pd 2.70, 1 Cd 2.72
Pd: 0.0000 0.0000 0.3088 x4  4 Pd 2.78, 5 Ho 2.79-2.97
Pd: 0.0000 0.5000 0.1198 x8  2 Cd 2.70, 6 Pd 2.78-2.96, 2 Ho 2.93

Computed properties:
N(E_F) (states/eV per atom): 0.42
ρ (g/cm3): 10.047
Calculated volume (Å³/cell): 449
Uncorrected energy (eV per atom): -4.85
ΔH_f (0 K) (meV/atom): -603
M_tot (μB per formula unit): 0.000
ΔE to the lowest computed polymorph (eV/atom): 0.103

=====

The following is a DFT calculation (PBE-GGA) of an optimized crystal structure of Ho2Cd3Pd8.

Lattice parameters (Å, degrees): 5.3585 5.3585 30.5526 90.00 90.00 120.00
Closest atoms and distances in Å follow each position.
Space group R-3m (No. 166, hexagonal axes)
Unique sites:
Ho: 0.0000 0.0000 0.1324 x6  4 Pd 2.73-2.74
Cd: 0.0000 0.0000 0.3127 x6  10 Pd 2.76-2.93
Cd: 0.0000 0.0000 0.5000 x3  6 Ho 3.27, 12 Pd 3.53-3.62
Pd: 0.0000 0.0000 0.2222 x6  1 Ho 2.74, 1 Cd 2.76
Pd: 0.0030 0.5015 0.2740 x18  4 Pd 2.65-2.70, 1 Ho 2.73, 3 Cd 2.88-2.93

Computed properties:
N(E_F) (states/eV per atom): 0.56
ρ (g/cm3): 9.957
Calculated volume (Å³/cell): 760
Uncorrected energy (eV per atom): -4.45
ΔH_f (0 K) (meV/atom): -341
M_tot (μB per formula unit): 0.000

=====

The following is a DFT calculation (PBE-GGA) of an optimized crystal structure of Ho4CdPd.

Lattice parameters (Å, degrees): 8.8041 12.7703 6.0772 90.00 107.22 90.00
Closest atoms and distances in Å follow each position.
Space group C2/c (No. 15)
Unique sites:
Ho: 0.1063 0.1765 0.0479 x8  2 Pd 2.86, 1 Cd 3.14
Ho: 0.2104 0.4141 0.3918 x8  2 Pd 3.03-3.12, 2 Cd 3.19-3.28
Cd: 0.0000 0.3796 0.7500 x4  8 Ho 3.14-3.39
Pd: 0.0000 0.0006 0.7500 x4  8 Ho 2.86-3.12, 2 Pd 3.04

Computed properties:
N(E_F) (states/eV per atom): 1.11
ρ (g/cm3): 8.941
Calculated volume (Å³/cell): 653
Uncorrected energy (eV per atom): -4.42
ΔH_f (0 K) (meV/atom): -349
M_tot (μB per formula unit): 0.000
ΔE to the lowest computed polymorph (eV/atom): 0.108

=====

The following is a DFT calculation (PBE-GGA) of an optimized crystal structure of HoCdPd2.

Lattice parameters (Å, degrees): 6.7595 6.7595 6.7595 90.00 90.00 90.00
Closest atoms and distances in Å follow each position.
Space group Fm-3m (No. 225)
Unique sites:
Ho: 0.0000 0.0000 0.0000 x4  8 Pd 2.93
Cd: 0.0000 0.0000 0.5000 x4  8 Pd 2.93
Pd: 0.2500 0.2500 0.2500 x8  4 Cd 2.93, 4 Ho 2.93

Computed properties:
N(E_F) (states/eV per atom): 0.40
ρ (g/cm3): 10.542
Calculated volume (Å³/cell): 309
Uncorrected energy (eV per atom): -4.72
ΔH_f (0 K) (meV/atom): -749
M_tot (μB per formula unit): 0.000
ΔE to the lowest computed polymorph (eV/atom): 0.000

=====

The following is a DFT calculation (PBE-GGA) of an optimized crystal structure of PmHoCdPd.

Lattice parameters (Å, degrees): 7.3239 7.3239 7.3239 90.00 90.00 90.00
Closest atoms and distances in Å follow each position.
Space group F-43m (No. 216)
Unique sites:
Pm: 0.0000 0.0000 0.0000 x4  4 Pd 3.17, 4 Cd 3.17
Ho: 0.0000 0.0000 0.5000 x4  4 Cd 3.17, 4 Pd 3.17
Cd: 0.2500 0.2500 0.7500 x4  4 Pm 3.17, 4 Ho 3.17
Pd: 0.2500 0.2500 0.2500 x4  4 Ho 3.17, 4 Pm 3.17

Computed properties:
N(E_F) (states/eV per atom): 0.67
ρ (g/cm3): 8.940
Calculated volume (Å³/cell): 393
Uncorrected energy (eV per atom): -4.38
ΔH_f (0 K) (meV/atom): -518
M_tot (μB per formula unit): 0.000

=====

The following is a DFT calculation (PBE-GGA) of an optimized crystal structure of PrHoCdPd.

Lattice parameters (Å, degrees): 7.3815 7.3815 7.3815 90.00 90.00 90.00
Closest atoms and distances in Å follow each position.
Space group F-43m (No. 216)
Unique sites:
Pr: 0.0000 0.0000 0.0000 x4  4 Cd 3.20, 4 Pd 3.20
Ho: 0.0000 0.0000 0.5000 x4  4 Pd 3.20, 4 Cd 3.20
Cd: 0.2500 0.2500 0.7500 x4  4 Ho 3.20, 4 Pr 3.20
Pd: 0.2500 0.2500 0.2500 x4  4 Pr 3.20, 4 Ho 3.20

Computed properties:
N(E_F) (states/eV per atom): 0.83
ρ (g/cm3): 8.665
Calculated volume (Å³/cell): 402
Uncorrected energy (eV per atom): -4.36
ΔH_f (0 K) (meV/atom): -493
M_tot (μB per formula unit): 0.000